1.
GGA-PBE LiYN2F, relaxed; E above lowest polymorph = 23.8 kJ per mole of atoms; raw formation energy = -425 meV/atom; crystal system = tetragonal; symmetry = P4/mmm, No. 123; magnetic moment = 3.0 μB per formula unit; volume = 18.258 Å³/atom
1.0
-3.808 0.810 -2.350
0.564 -3.905 -2.261
-2.350 -2.121 3.077
N F Y Li
2 1 1 1
Direct
0.500 0.000 0.000 N
0.000 0.500 0.000 N
0.000 0.000 0.500 F
0.000 0.000 0.000 Y
0.500 0.500 0.500 Li

2.
GGA-PBE LiYN2F, relaxed; E above lowest polymorph = 0.0 kJ per mole of atoms; raw formation energy = -671 meV/atom; crystal system = tetragonal; symmetry = P4/mmm, No. 123; magnetic moment = 0.0 μB per formula unit; volume = 10.344 Å³/atom
1.0
3.642 0.000 0.000
0.000 3.642 0.000
0.000 0.000 3.899
Y N Li F
1 2 1 1
Direct
0.500 0.500 0.500 Y
0.500 0.000 0.000 N
0.000 0.500 0.000 N
0.000 0.000 0.000 Li
0.000 0.000 0.500 F

3.
GGA-PBE LiZnN2F, relaxed; E above lowest polymorph = 0.0 kJ per mole of atoms; raw formation energy = 439 meV/atom; crystal system = tetragonal; symmetry = P4/mmm, No. 123; magnetic moment = 3.4 μB per formula unit; volume = 13.249 Å³/atom
1.0
3.900 0.000 0.000
0.000 3.900 0.000
0.000 0.000 4.354
F Li N Zn
1 1 2 1
Direct
0.000 0.000 0.500 F
0.500 0.500 0.500 Li
0.000 0.500 0.000 N
0.500 0.000 0.000 N
0.000 0.000 0.000 Zn

4.
GGA-PBE LiZnN2F, relaxed; E above lowest polymorph = 37.2 kJ per mole of atoms; raw formation energy = 825 meV/atom; crystal system = tetragonal; symmetry = P4/mmm, No. 123; magnetic moment = 3.9 μB per formula unit; volume = 11.019 Å³/atom
1.0
-1.163 2.970 2.432
-2.565 -2.492 1.816
2.438 -0.878 2.239
N Li Zn F
2 1 1 1
Direct
0.500 0.000 0.000 N
0.000 0.500 0.000 N
0.000 0.000 0.000 Li
0.500 0.500 0.500 Zn
0.000 0.000 0.500 F

5.
GGA-PBE LiZnNF2, relaxed; E above lowest polymorph = 0.0 kJ per mole of atoms; raw formation energy = -892 meV/atom; crystal system = tetragonal; symmetry = P4/mmm, No. 123; magnetic moment = 2.0 μB per formula unit; volume = 13.778 Å³/atom
1.0
4.222 0.000 0.000
0.000 4.222 0.000
0.000 0.000 3.866
Zn F N Li
1 2 1 1
Direct
0.000 0.000 0.000 Zn
0.500 0.000 0.000 F
0.000 0.500 0.000 F
0.000 0.000 0.500 N
0.500 0.500 0.500 Li

6.
GGA-PBE LiZnNF2, relaxed; E above lowest polymorph = 29.1 kJ per mole of atoms; raw formation energy = -590 meV/atom; crystal system = tetragonal; symmetry = P4/mmm, No. 123; magnetic moment = 2.0 μB per formula unit; volume = 10.491 Å³/atom
1.0
-1.351 -0.778 -3.196
0.846 -3.421 0.476
-3.708 -0.676 1.732
F Zn Li N
2 1 1 1
Direct
0.500 0.000 0.000 F
0.000 0.500 0.000 F
0.500 0.500 0.500 Zn
0.000 0.000 0.000 Li
0.000 0.000 0.500 N

magnetic moment of number 2 (LiYN2F)? 0.0 μB per formula unit